# 1
{
  "formula": "Sr2FeCu",
  "functional": "GGA-PBE",
  "state": "optimized geometry",
  "lattice_angstrom": [[0.0000, 3.7788, 3.7788], [3.7788, 0.0000, 3.7788], [3.7788, 3.7788, 0.0000]],
  "species": ["Sr", "Sr", "Fe", "Cu"],
  "frac_coords": [[0.2500, 0.2500, 0.2500], [0.7500, 0.7500, 0.7500], [0.0000, 0.0000, 0.0000], [0.5000, 0.5000, 0.5000]],
  "magnetic_moment_mub_per_fu": 2.32,
  "ef_mev_per_atom": 491,
  "mass_density_g_cm3": 4.53,
  "dos_at_fermi_per_ev_fu": 21.1,
  "spacegroup": "Fm-3m, No. 225",
  "e_above_lowest_polymorph_ev_per_atom": 0.214
}

=====

# 2
{
  "formula": "SrFe2Cu",
  "functional": "GGA-PBE",
  "state": "optimized geometry",
  "lattice_angstrom": [[1.5047, 0.8688, 9.0099], [-1.5047, 0.8688, 9.0099], [0.0000, -1.7375, 9.0099]],
  "species": ["Sr", "Fe", "Fe", "Cu"],
  "frac_coords": [[0.0000, 0.0000, 0.0000], [0.2352, 0.2352, 0.2352], [0.7648, 0.7648, 0.7648], [0.5000, 0.5000, 0.5000]],
  "magnetic_moment_mub_per_fu": 5.50,
  "ef_mev_per_atom": 976,
  "mass_density_g_cm3": 6.18,
  "dos_at_fermi_per_ev_fu": 6.2,
  "spacegroup": "R-3m, No. 166"
}